1.
{"formula": "Fe2MoIr", "functional": "SCAN", "state": "PBEsol geometry", "lattice_angstrom": [[2.631, 0.000, 0.000], [-1.316, 4.294, 0.005], [0.000, -0.804, 4.555]], "species": ["Fe", "Fe", "Ir", "Mo"], "fractional_positions": [[0.245, 0.490, 0.247], [0.755, 0.510, 0.753], [0.500, 0.000, 0.000], [0.000, 0.000, 0.500]], "m_tot_mub_per_fu": 4.8, "delta_e_f_kj_per_mol_atoms": -1, "dos_at_fermi_per_ev_fu": 4.2, "space_group": "C2/m (12)"}

2.
{"formula": "CsNa2Ge17", "functional": "SCAN", "state": "PBEsol geometry", "lattice_angstrom": [[-9.703, -5.074, 0.488], [-0.509, -10.599, 2.744], [-4.157, -2.956, 9.701]], "species": ["Ge", "Ge", "Ge", "Ge", "Ge", "Ge", "Ge", "Ge", "Ge", "Ge", "Ge", "Ge", "Ge", "Ge", "Ge", "Ge", "Ge", "Ge", "Ge", "Ge", "Ge", "Ge", "Ge", "Ge", "Ge", "Ge", "Ge", "Ge", "Ge", "Ge", "Ge", "Ge", "Ge", "Ge", "Na", "Na", "Na", "Na", "Cs", "Cs"], "fractional_positions": [[0.343, 0.343, 0.972], [0.495, 0.495, 0.890], [0.360, 0.755, 0.131], [0.495, 0.890, 0.119], [0.360, 0.755, 0.755], [0.119, 0.495, 0.890], [0.890, 0.495, 0.119], [0.907, 0.907, 0.907], [0.890, 0.495, 0.495], [0.360, 0.131, 0.755], [0.119, 0.495, 0.495], [0.907, 0.278, 0.907], [0.890, 0.119, 0.495], [0.131, 0.360, 0.755], [0.755, 0.755, 0.131], [0.119, 0.890, 0.495], [0.343, 0.972, 0.343], [0.131, 0.755, 0.755], [0.755, 0.131, 0.755], [0.278, 0.907, 0.907], [0.495, 0.119, 0.495], [0.495, 0.119, 0.890], [0.495, 0.495, 0.119], [0.343, 0.343, 0.343], [0.755, 0.360, 0.131], [0.972, 0.343, 0.343], [0.495, 0.890, 0.495], [0.131, 0.755, 0.360], [0.907, 0.907, 0.278], [0.755, 0.755, 0.360], [0.755, 0.360, 0.755], [0.000, 0.000, 0.000], [0.755, 0.131, 0.360], [0.250, 0.250, 0.250], [0.125, 0.125, 0.125], [0.125, 0.625, 0.125], [0.125, 0.125, 0.625], [0.625, 0.125, 0.125], [0.750, 0.750, 0.750], [0.500, 0.500, 0.500]], "m_tot_mub_per_fu": 0.0, "delta_e_f_kj_per_mol_atoms": -9, "dos_at_fermi_per_ev_fu": 6.5, "space_group": "Fd-3m (227)"}

3.
{"formula": "CdPb2Au2", "functional": "SCAN", "state": "PBEsol geometry", "lattice_angstrom": [[-2.204, -0.956, 3.857], [0.200, -4.431, -0.985], [6.438, 2.272, 1.566]], "species": ["Pb", "Pb", "Cd", "Au", "Au"], "fractional_positions": [[0.750, 0.250, 0.500], [0.250, 0.750, 0.500], [0.000, 0.000, 0.000], [0.604, 0.604, 0.208], [0.396, 0.396, 0.792]], "m_tot_mub_per_fu": 0.0, "delta_e_f_kj_per_mol_atoms": 14, "dos_at_fermi_per_ev_fu": 2.4, "space_group": "I4/mmm (139)", "e_above_lowest_polymorph_mev_per_atom": 216.7}

Number 1: calculated density 12.90 Mg/m³. Number 2: calculated density 5.04 Mg/m³. Number 3: calculated density 11.90 Mg/m³.